Entry from Alexandria: InBiSb3 after structural relaxation (PBE-GGA).

abc: 5.872 5.872 5.872
angles: 90.00 90.00 90.00
Element x y z (fractional)
In: 0.500 0.500 0.500
Bi: 0.000 0.000 0.000
Sb: 0.000 0.500 0.000
Sb: 0.000 0.000 0.500
Sb: 0.500 0.000 0.000

Properties
* D(E_F): 1.41 states/eV per atom
* total magnetic moment: 0.00 μB/cell
* ΔE_f (raw): 3.9 eV/f.u.
* polymorph energy (0 for the lowest one): 0.0660 eV per atom